[1]
VASP calculation (PBE-GGA) on a relaxed Tl2InRu crystal.

The calculation puts the formation energy at 319 meV/atom. The raw total energy is -3.868 eV/atom. Its energy above the most stable polymorph in this dataset is 128 meV per atom.

Lattice parameters (Å, degrees): 9.830 9.830 9.830 19.71 19.71 19.71
Last column: magnetic moment on the atom in μB.
Sites, in units of the cell vectors:
In (0.485, 0.485, 0.485)  0.00
Ru (0.752, 0.752, 0.752)  0.43
Tl (0.015, 0.015, 0.015)  0.01
Tl (0.248, 0.248, 0.248)  0.01

[2]
VASP calculation (PBE-GGA) on a relaxed EuMgInAg crystal.

The calculation puts the formation energy at -288 meV/atom. The raw total energy is -4.653 eV/atom.

Lattice parameters (Å, degrees): 5.181 5.181 5.181 60.00 60.00 60.00
Last column: magnetic moment on the atom in μB.
Sites, in units of the cell vectors:
Eu (0.500, 0.500, 0.500)  6.79
Mg (0.000, 0.000, 0.000)  0.00
Ag (0.250, 0.250, 0.250)  0.01
In (0.750, 0.750, 0.750)  0.01

[3]
VASP calculation (PBE-GGA) on a relaxed InBiP2S crystal.

The raw total energy is -3.434 eV/atom. The calculation puts the formation energy (no corrections) at 0.879 eV/atom. Its energy above the most stable polymorph in this dataset is 116 meV per atom.

Lattice parameters (Å, degrees): 5.451 5.451 5.424 90.00 90.00 90.00
Last column: magnetic moment on the atom in μB.
Sites, in units of the cell vectors:
P (0.000, 0.500, 0.000)  0.43
P (0.500, 0.000, 0.000)  0.43
S (0.000, 0.000, 0.500)  0.23
Bi (0.000, 0.000, 0.000)  -0.01
In (0.500, 0.500, 0.500)  0.02

[4]
VASP calculation (PBE-GGA) on a relaxed BaSrRu2 crystal.

The calculation puts the formation energy at 1063 meV/atom. The raw total energy is -4.476 eV/atom. Its energy above the most stable polymorph in this dataset is 879 meV per atom.

Lattice parameters (Å, degrees): 9.472 9.472 9.472 21.39 21.39 21.39
Last column: magnetic moment on the atom in μB.
Sites, in units of the cell vectors:
Ba (0.750, 0.750, 0.750)  -0.04
Ru (0.001, 0.001, 0.001)  0.69
Ru (0.499, 0.499, 0.499)  0.69
Sr (0.250, 0.250, 0.250)  -0.02

[5]
VASP calculation (PBE-GGA) on a relaxed BaCaF2 crystal.

The raw total energy is -3.895 eV/atom. The calculation puts the formation energy (no corrections) at -1.978 eV/atom. Its energy above the most stable polymorph in this dataset is 903 meV per atom.

Lattice parameters (Å, degrees): 4.967 4.967 4.967 60.00 60.00 60.00
Last column: magnetic moment on the atom in μB.
Sites, in units of the cell vectors:
Ca (0.000, 0.000, 0.000)  0.33
Ba (0.500, 0.500, 0.500)  0.36
F (0.250, 0.250, 0.250)  0.03
F (0.750, 0.750, 0.750)  0.03

[6]
VASP calculation (PBE-GGA) on a relaxed SrMg14Ni crystal.

The calculation puts the formation energy at 64 meV/atom. The raw total energy is -1.798 eV/atom. Its energy above the most stable polymorph in this dataset is 21 meV per atom.

Lattice parameters (Å, degrees): 6.445 6.445 10.396 90.00 90.00 120.00
Sites, in units of the cell vectors:
Sr (0.000, 0.000, 0.500)
Mg (0.987, 0.494, 0.000)
Mg (0.014, 0.507, 0.500)
Mg (0.506, 0.013, 0.000)
Mg (0.493, 0.986, 0.500)
Mg (0.506, 0.494, 0.000)
Mg (0.493, 0.507, 0.500)
Mg (0.162, 0.838, 0.223)
Mg (0.162, 0.838, 0.777)
Mg (0.162, 0.324, 0.223)
Mg (0.162, 0.324, 0.777)
Mg (0.676, 0.838, 0.223)
Mg (0.676, 0.838, 0.777)
Mg (0.667, 0.333, 0.262)
Mg (0.667, 0.333, 0.738)
Ni (0.000, 0.000, 0.000)

[7]
VASP calculation (PBE-GGA) on a relaxed ThBe2Cu4Si crystal.

The raw total energy is -4.639 eV/atom. The calculation puts the formation energy (no corrections) at -0.054 eV/atom.

Lattice parameters (Å, degrees): 3.923 3.923 8.912 77.28 77.28 60.00
Sites, in units of the cell vectors:
Th (0.000, 0.000, 0.000)
Be (0.761, 0.761, 0.716)
Be (0.239, 0.239, 0.284)
Cu (0.410, 0.410, 0.771)
Cu (0.870, 0.870, 0.389)
Cu (0.130, 0.130, 0.611)
Cu (0.590, 0.590, 0.229)
Si (0.500, 0.500, 0.500)

[8]
VASP calculation (PBE-GGA) on a relaxed ErAlCr2S6 crystal.

The raw total energy is -6.284 eV/atom. The calculation puts the formation energy (no corrections) at -1.052 eV/atom.

Lattice parameters (Å, degrees): 6.242 6.242 6.671 62.10 62.10 60.00
Last column: magnetic moment on the atom in μB.
Sites, in units of the cell vectors:
Er (0.813, 0.813, 0.561)  0.05
Al (0.320, 0.320, 0.041)  0.03
Cr (0.514, 0.514, 0.459)  2.89
Cr (0.010, 0.010, 0.971)  2.83
S (0.606, 0.246, 0.235)  -0.05
S (0.246, 0.913, 0.235)  -0.05
S (0.913, 0.606, 0.235)  -0.05
S (0.375, 0.724, 0.759)  -0.05
S (0.724, 0.142, 0.759)  -0.05
S (0.142, 0.375, 0.759)  -0.05

[9]
VASP calculation (PBE-GGA) on a relaxed Ac2Pm5NdSm crystal.

The calculation puts the formation energy at 136 meV/atom. The raw total energy is -4.471 eV/atom.

Lattice parameters (Å, degrees): 5.877 10.724 11.035 90.00 90.00 105.90
Sites, in units of the cell vectors:
Ac (0.882, 0.763, 0.823)
Ac (0.113, 0.226, 0.731)
Ac (0.118, 0.237, 0.323)
Ac (0.887, 0.774, 0.231)
Pm (0.394, 0.787, 0.023)
Pm (0.716, 0.433, 0.809)
Pm (0.480, 0.960, 0.741)
Pm (0.296, 0.593, 0.703)
Pm (0.980, 0.961, 0.526)
Pm (0.606, 0.213, 0.523)
Pm (0.284, 0.567, 0.309)
Pm (0.520, 0.040, 0.241)
Pm (0.704, 0.407, 0.203)
Pm (0.020, 0.039, 0.026)
Nd (0.588, 0.175, 0.962)
Nd (0.412, 0.825, 0.462)
Sm (0.792, 0.584, 0.508)
Sm (0.208, 0.416, 0.008)

Question: Among the records above, which one has the lowest raw total energy?
Answer: ErAlCr2S6